(1)
DFT (PBE-GGA) results for Y2Rh3 after structural relaxation.

Computed properties:
As for the symmetry: No. 43. The value obtained for the magnetization is 0.00 μB/cell. The calculation puts the energy of formation from the pure elements at -0.68 eV/atom.

Geometry as CIF:
```
data_Y2Rh3
_space_group_name_H-M_alt 'P 1'
_space_group_IT_number 1
_space_group_name_Hall 'P 1'
_cell_length_a 9.023
_cell_length_b 8.125
_cell_length_c 5.492
_cell_angle_alpha 80.48
_cell_angle_beta 62.63
_cell_angle_gamma 36.89
loop_
_atom_site_label
_atom_site_type_symbol
_atom_site_fract_x
_atom_site_fract_y
_atom_site_fract_z
_atom_site_occupancy
Y1 Y 0.512 0.392 0.831 1
Y2 Y 0.265 0.831 0.392 1
Y3 Y 0.858 0.738 0.985 1
Y4 Y 0.419 0.985 0.738 1
Rh1 Rh 0.446 0.309 0.411 1
Rh2 Rh 0.834 0.411 0.309 1
Rh3 Rh 0.941 0.804 0.416 1
Rh4 Rh 0.839 0.416 0.804 1
Rh5 Rh 0.943 0.057 0.057 1
Rh6 Rh 0.193 0.307 0.307 1
```

***

(2)
DFT (PBE-GGA) results for Y4Rh after structural relaxation.

Computed properties:
As for the symmetry: No. 229. The value obtained for the magnetization is 0.00 μB/cell. The calculation puts the energy of formation from the pure elements at 0.02 eV/atom.

Geometry as CIF:
```
data_Y4Rh
_space_group_name_H-M_alt 'P 1'
_space_group_IT_number 1
_space_group_name_Hall 'P 1'
_cell_length_a 5.833
_cell_length_b 5.833
_cell_length_c 5.833
_cell_angle_alpha 109.47
_cell_angle_beta 109.47
_cell_angle_gamma 109.47
loop_
_atom_site_label
_atom_site_type_symbol
_atom_site_fract_x
_atom_site_fract_y
_atom_site_fract_z
_atom_site_occupancy
Y1 Y 0.500 0.000 0.000 1
Y2 Y 0.500 0.500 0.500 1
Y3 Y 0.000 0.500 0.000 1
Y4 Y 0.000 0.000 0.500 1
Rh1 Rh 0.000 0.000 0.000 1
```

***

(3)
DFT (PBE-GGA) results for YRh5 after structural relaxation.

Computed properties:
As for the symmetry: No. 191. The value obtained for the magnetization is 0.00 μB/cell. The calculation puts the energy of formation from the pure elements at -0.30 eV/atom.

Geometry as CIF:
```
data_YRh5
_space_group_name_H-M_alt 'P 1'
_space_group_IT_number 1
_space_group_name_Hall 'P 1'
_cell_length_a 5.236
_cell_length_b 5.236
_cell_length_c 4.327
_cell_angle_alpha 90.00
_cell_angle_beta 90.00
_cell_angle_gamma 120.00
loop_
_atom_site_label
_atom_site_type_symbol
_atom_site_fract_x
_atom_site_fract_y
_atom_site_fract_z
_atom_site_occupancy
Rh1 Rh 0.667 0.333 0.000 1
Rh2 Rh 0.333 0.667 0.000 1
Rh3 Rh 0.000 0.500 0.500 1
Rh4 Rh 0.500 0.500 0.500 1
Rh5 Rh 0.500 0.000 0.500 1
Y1 Y 0.000 0.000 0.000 1
```